# 1
VASP calculation (GGA-PBE) on a relaxed structure of RbCd.

Lattice parameters (Å, degrees): 4.300 19.158 6.599 90.00 90.00 90.00
Element x y z (fractional)
Rb1 0.000 0.000 0.000
Rb2 0.000 0.179 0.315
Rb3 0.000 0.321 0.815
Rb4 0.000 0.500 0.500
Rb5 0.000 0.679 0.815
Rb6 0.000 0.821 0.315
Cd1 0.500 0.000 0.532
Cd2 0.500 0.140 0.777
Cd3 0.500 0.360 0.277
Cd4 0.500 0.500 0.032
Cd5 0.500 0.640 0.277
Cd6 0.500 0.860 0.777

Computed properties:
E_tot, eV per atom: -0.921
Formation energy, meV/atom: 20

=====

# 2
VASP calculation (GGA-PBE) on a relaxed structure of NaBe2Nb.

Lattice parameters (Å, degrees): 6.697 6.697 5.732 90.00 90.00 90.00
Element x y z (fractional)
Na1 0.000 0.000 0.000
Na2 0.000 0.500 0.250
Na3 0.500 0.000 0.750
Na4 0.500 0.500 0.500
Be1 0.239 0.750 0.625
Be2 0.250 0.239 0.375
Be3 0.250 0.261 0.875
Be4 0.261 0.750 0.125
Be5 0.739 0.250 0.125
Be6 0.750 0.739 0.875
Be7 0.750 0.761 0.375
Be8 0.761 0.250 0.625
Nb1 0.000 0.000 0.500
Nb2 0.000 0.500 0.750
Nb3 0.500 0.000 0.250
Nb4 0.500 0.500 0.000

Computed properties:
E_tot, eV per atom: -3.658
Formation energy, meV/atom: 1052
E above lowest polymorph, eV/atom: 0.322

=====

# 3
VASP calculation (GGA-PBE) on a relaxed structure of Cd3SeS.

Lattice parameters (Å, degrees): 5.143 5.143 5.143 90.00 90.00 90.00
Element x y z (fractional)
Cd1 0.000 0.000 0.500
Cd2 0.000 0.500 0.000
Cd3 0.500 0.000 0.000
Se1 0.500 0.500 0.500
S1 0.000 0.000 0.000

Computed properties:
E_tot, eV per atom: -1.954
E above lowest polymorph, eV/atom: 0.000

=====

# 4
VASP calculation (GGA-PBE) on a relaxed structure of LaZr2CoN4.

Lattice parameters (Å, degrees): 5.833 5.833 11.171 90.00 90.00 147.19
Element x y z (fractional)
La1 0.103 0.897 0.750
La2 0.897 0.103 0.250
Zr1 0.367 0.633 0.553
Zr2 0.367 0.633 0.947
Zr3 0.633 0.367 0.053
Zr4 0.633 0.367 0.447
Co1 0.160 0.840 0.250
Co2 0.840 0.160 0.750
N1 0.000 0.000 0.000
N2 0.000 0.000 0.500
N3 0.266 0.734 0.113
N4 0.266 0.734 0.387
N5 0.433 0.567 0.750
N6 0.567 0.433 0.250
N7 0.734 0.266 0.613
N8 0.734 0.266 0.887

Computed properties:
E_tot, eV per atom: -9.069

=====

# 5
VASP calculation (GGA-PBE) on a relaxed structure of IrPt6Rh8.

Lattice parameters (Å, degrees): 6.754 6.754 6.754 64.63 64.63 64.63
Element x y z (fractional)
Ir1 0.000 0.000 0.000
Pt1 0.100 0.364 0.653
Pt2 0.347 0.900 0.636
Pt3 0.364 0.653 0.100
Pt4 0.636 0.347 0.900
Pt5 0.653 0.100 0.364
Pt6 0.900 0.636 0.347
Rh1 0.140 0.829 0.425
Rh2 0.171 0.575 0.860
Rh3 0.244 0.244 0.244
Rh4 0.425 0.140 0.829
Rh5 0.575 0.860 0.171
Rh6 0.756 0.756 0.756
Rh7 0.829 0.425 0.140
Rh8 0.860 0.171 0.575

Computed properties:
E_tot, eV per atom: -6.629
Formation energy, meV/atom: 299
E above lowest polymorph, eV/atom: 0.051

=====

# 6
VASP calculation (GGA-PBE) on a relaxed structure of AcZnSn2.

Lattice parameters (Å, degrees): 6.521 6.513 6.443 90.00 120.33 90.00
Element x y z (fractional)
Ac1 0.000 0.000 0.000
Ac2 0.500 0.500 0.000
Zn1 0.000 0.751 0.500
Zn2 0.500 0.251 0.500
Sn1 0.131 0.500 0.262
Sn2 0.369 0.000 0.738
Sn3 0.631 0.000 0.262
Sn4 0.869 0.500 0.738

Computed properties:
E_tot, eV per atom: -3.735
Formation energy, meV/atom: -388

=====

# 7
VASP calculation (GGA-PBE) on a relaxed structure of Zr2HAu.

Lattice parameters (Å, degrees): 6.578 6.578 6.578 90.00 90.00 90.00
Element x y z (fractional)
Zr1 0.250 0.250 0.250
Zr2 0.250 0.250 0.750
Zr3 0.250 0.750 0.250
Zr4 0.250 0.750 0.750
Zr5 0.750 0.250 0.250
Zr6 0.750 0.250 0.750
Zr7 0.750 0.750 0.250
Zr8 0.750 0.750 0.750
H1 0.000 0.000 0.000
H2 0.000 0.500 0.500
H3 0.500 0.000 0.500
H4 0.500 0.500 0.000
Au1 0.000 0.000 0.500
Au2 0.000 0.500 0.000
Au3 0.500 0.000 0.000
Au4 0.500 0.500 0.500

Computed properties:
E_tot, eV per atom: -5.921
E above lowest polymorph, eV/atom: 0.420

=====

# 8
VASP calculation (GGA-PBE) on a relaxed structure of MgMn2CuSe.

Lattice parameters (Å, degrees): 4.840 4.840 4.505 90.00 90.00 90.00
Element x y z (fractional)
Mg1 0.000 0.000 0.000
Mn1 0.000 0.500 0.000
Mn2 0.500 0.000 0.000
Cu1 0.000 0.000 0.500
Se1 0.500 0.500 0.500

Computed properties:
E_tot, eV per atom: -4.406

=====

# 9
VASP calculation (GGA-PBE) on a relaxed structure of CaOsBr2.

Lattice parameters (Å, degrees): 6.877 8.523 4.878 90.00 134.30 90.00
Element x y z (fractional)
Ca1 0.000 0.000 0.000
Ca2 0.500 0.500 0.000
Os1 0.000 0.500 0.000
Os2 0.500 0.000 0.000
Br1 0.250 0.250 0.500
Br2 0.250 0.750 0.500
Br3 0.750 0.250 0.500
Br4 0.750 0.750 0.500

Computed properties:
E_tot, eV per atom: -3.935
E above lowest polymorph, eV/atom: 0.440

=====

# 10
VASP calculation (GGA-PBE) on a relaxed structure of Dy4Al2In.

Lattice parameters (Å, degrees): 8.811 8.811 8.811 33.76 33.76 33.76
Element x y z (fractional)
Dy1 0.116 0.116 0.116
Dy2 0.370 0.370 0.370
Dy3 0.630 0.630 0.630
Dy4 0.884 0.884 0.884
Al1 0.248 0.248 0.248
Al2 0.752 0.752 0.752
In1 0.500 0.500 0.500

Computed properties:
E_tot, eV per atom: -4.351
Formation energy, meV/atom: -261
E above lowest polymorph, eV/atom: 0.000

=====

# 11
VASP calculation (GGA-PBE) on a relaxed structure of TcMoP.

Lattice parameters (Å, degrees): 5.803 5.803 5.803 90.00 90.00 90.00
Element x y z (fractional)
Tc1 0.000 0.000 0.000
Tc2 0.000 0.500 0.500
Tc3 0.500 0.000 0.500
Tc4 0.500 0.500 0.000
Mo1 0.250 0.250 0.250
Mo2 0.250 0.750 0.750
Mo3 0.750 0.250 0.750
Mo4 0.750 0.750 0.250
P1 0.250 0.250 0.750
P2 0.250 0.750 0.250
P3 0.750 0.250 0.250
P4 0.750 0.750 0.750

Computed properties:
E_tot, eV per atom: -8.994
Formation energy, meV/atom: -125
E above lowest polymorph, eV/atom: 0.260

=====

# 12
VASP calculation (GGA-PBE) on a relaxed structure of BaCoSN2.

Lattice parameters (Å, degrees): 4.557 4.557 6.242 90.00 90.00 90.00
Element x y z (fractional)
Ba1 0.000 0.000 0.000
Co1 0.500 0.500 0.500
S1 0.000 0.000 0.500
N1 0.000 0.500 0.000
N2 0.500 0.000 0.000

Computed properties:
E_tot, eV per atom: -3.843
E above lowest polymorph, eV/atom: 1.780

=====

# 13
VASP calculation (GGA-PBE) on a relaxed structure of MnSb2Cl.

Lattice parameters (Å, degrees): 3.307 4.758 12.462 90.00 90.00 90.00
Element x y z (fractional)
Mn1 0.000 0.000 0.000
Mn2 0.500 0.500 0.500
Sb1 0.000 0.500 0.303
Sb2 0.000 0.500 0.697
Sb3 0.500 0.000 0.197
Sb4 0.500 0.000 0.803
Cl1 0.000 0.000 0.500
Cl2 0.500 0.500 0.000

Computed properties:
E_tot, eV per atom: -4.796
E above lowest polymorph, eV/atom: 0.220